Run 1
VASP calculation (GGA+U) on a relaxed structure of V3HgF.

```
V3HgF
1.0
5.3055 0.0000 0.0000
0.0000 5.3055 0.0000
0.0000 0.0000 5.3055
Hg V F
1 3 1
Direct
0.0000 0.0000 0.0000
0.0000 0.0000 0.5000
0.5000 0.0000 0.0000
0.0000 0.5000 0.0000
0.5000 0.5000 0.5000
```

Calculated values
* symmetry: Pm-3m, No. 221
* total magnetic moment: 1.98 μB/atom


Run 2
VASP calculation (GGA+U) on a relaxed structure of V3HgF.

```
V3HgF
1.0
4.4759 0.0000 0.0000
0.0000 4.4759 0.0000
0.0000 0.0000 4.4759
V Hg F
3 1 1
Direct
0.5000 0.0000 0.0000
0.0000 0.0000 0.5000
0.0000 0.5000 0.0000
0.5000 0.5000 0.5000
0.0000 0.0000 0.0000
```

Calculated values
* symmetry: Pm-3m, No. 221
* total magnetic moment: 1.85 μB/atom


Result of the stability comparison: run 1 is the least stable of them.


Run 1
VASP calculation (GGA+U) on a relaxed structure of VHg3F.

```
VHg3F
1.0
-3.0782 3.6807 -1.4026
-1.8910 -2.9424 -3.5716
-3.4553 -1.6687 3.2041
Hg F V
3 1 1
Direct
0.0000 0.5000 0.0000
0.0000 0.0000 0.5000
0.5000 0.0000 0.0000
0.0000 0.0000 0.0000
0.5000 0.5000 0.5000
```

Calculated values
* symmetry: Pm-3m, No. 221
* total magnetic moment: 0.64 μB/atom


Run 2
VASP calculation (GGA+U) on a relaxed structure of VHg3F.

```
VHg3F
1.0
5.5509 0.0000 0.0000
0.0000 5.5509 0.0000
0.0000 0.0000 5.5509
F Hg V
1 3 1
Direct
0.5000 0.5000 0.5000
0.0000 0.0000 0.5000
0.0000 0.5000 0.0000
0.5000 0.0000 0.0000
0.0000 0.0000 0.0000
```

Calculated values
* symmetry: Pm-3m, No. 221
* total magnetic moment: 0.78 μB/atom


Result of the stability comparison: run 1 is the least stable of them.


Run 1
VASP calculation (GGA+U) on a relaxed structure of V2HgF.

```
V2HgF
1.0
0.0000 3.3050 3.3050
3.3050 0.0000 3.3050
3.3050 3.3050 0.0000
V F Hg
2 1 1
Direct
0.7500 0.7500 0.7500
0.2500 0.2500 0.2500
0.0000 0.0000 0.0000
0.5000 0.5000 0.5000
```

Calculated values
* symmetry: Fm-3m, No. 225
* total magnetic moment: 1.71 μB/atom


Run 2
VASP calculation (GGA+U) on a relaxed structure of V2HgF.

```
V2HgF
1.0
-0.4183 5.4329 0.0738
-0.6763 0.0214 -5.4073
-6.5544 2.2545 -1.9172
F Hg V
2 2 4
Direct
0.2500 0.7500 0.5000
0.5000 0.5000 0.0000
0.0000 0.0000 0.0000
0.7500 0.2500 0.5000
0.4747 0.1250 0.2500
0.3750 0.5253 0.7500
0.2753 0.6250 0.2500
0.8750 0.7247 0.7500
```

Calculated values
* symmetry: I-42d, No. 122
* total magnetic moment: 1.71 μB/atom


Result of the stability comparison: run 1 is the least stable of them.


Run 1
VASP calculation (GGA+U) on a relaxed structure of HgWF2.

```
HgWF2
1.0
5.2203 0.0000 0.0000
0.0000 5.2203 0.0000
2.6101 2.6101 6.9706
W F Hg
2 4 2
Direct
0.2500 0.7500 0.5000
0.5000 0.5000 0.0000
0.3770 0.1250 0.2500
0.8750 0.6270 0.7500
0.3750 0.6230 0.7500
0.3730 0.6250 0.2500
0.7500 0.2500 0.5000
0.0000 0.0000 0.0000
```

Calculated values
* symmetry: I-42d, No. 122
* total magnetic moment: 1.00 μB/atom


Run 2
VASP calculation (GGA+U) on a relaxed structure of HgWF2.

```
HgWF2
1.0
-8.8976 4.7821 0.5289
-8.4206 4.3653 3.5147
-7.2066 6.7808 2.0978
W Hg F
1 1 2
Direct
0.0000 0.0000 0.0000
0.5000 0.5000 0.5000
0.0631 0.0631 0.0631
0.9369 0.9369 0.9369
```

Calculated values
* symmetry: R-3m, No. 166
* total magnetic moment: 0.00 μB/atom


Result of the stability comparison: run 1 is the least stable of them.


Run 1
VASP calculation (GGA+U) on a relaxed structure of HgW2F.

```
HgW2F
1.0
-3.8368 -1.2133 -2.0984
-3.7617 2.4817 0.5355
-1.5860 2.4895 -3.4472
Hg W F
1 2 1
Direct
0.5000 0.5000 0.5000
0.7500 0.7500 0.7500
0.2500 0.2500 0.2500
0.0000 0.0000 0.0000
```

Calculated values
* symmetry: Fm-3m, No. 225
* total magnetic moment: 0.20 μB/atom


Run 2
VASP calculation (GGA+U) on a relaxed structure of HgW2F.

```
HgW2F
1.0
7.2490 0.0000 0.0000
0.0000 7.2490 0.0000
3.6245 3.6245 2.6819
W Hg F
4 2 2
Direct
0.5624 0.1250 0.2500
0.1876 0.6250 0.2500
0.8750 0.8124 0.7500
0.3750 0.4376 0.7500
0.7500 0.2500 0.5000
0.0000 0.0000 0.0000
0.5000 0.5000 0.0000
0.2500 0.7500 0.5000
```

Calculated values
* symmetry: I-42d, No. 122
* total magnetic moment: 0.76 μB/atom


Result of the stability comparison: run 1 is the least stable of them.